Entry 1:
First-principles (PBE) data for an optimized crystal structure of FeCuNiBi2, as listed in Alexandria. Values from VASP.

Computed properties:
The energy relative to the elements is 1.027 eV/atom. The final energy comes out at -20.97 eV per cell. As for the calculated volume: 117 Å³/cell.

Geometry as Quantum ESPRESSO input:
```
&SYSTEM
  ibrav = 0, nat = 5, ntyp = 4
/
ATOMIC_SPECIES
Fe 55.84 Fe.upf
Cu 63.55 Cu.upf
Ni 58.69 Ni.upf
Bi 208.98 Bi.upf
ATOMIC_POSITIONS angstrom
Fe 0.0000 0.0000 0.0000
Cu 0.0000 0.0000 2.2696
Ni 2.5384 2.5384 0.0000
Bi 0.0000 2.5384 2.2696
Bi 2.5384 0.0000 2.2696
CELL_PARAMETERS angstrom
5.0768 0.0000 0.0000
0.0000 5.0768 0.0000
0.0000 0.0000 4.5393
```

***

Entry 2:
First-principles (PBE) data for an optimized crystal structure of Rb2SnHgI6, as listed in Alexandria. Values from VASP.

Computed properties:
The final energy comes out at -23.78 eV per cell. As for the calculated volume: 537 Å³/cell.

Geometry as Quantum ESPRESSO input:
```
&SYSTEM
  ibrav = 0, nat = 10, ntyp = 4
/
ATOMIC_SPECIES
Rb 85.47 Rb.upf
Sn 118.71 Sn.upf
Hg 200.59 Hg.upf
I 126.90 I.upf
ATOMIC_POSITIONS angstrom
Rb 0.0000 0.0000 0.0000
Rb 0.0000 0.0000 12.0600
Sn 0.0000 0.0000 19.3247
Hg 0.0000 0.0000 5.5267
I -2.6161 -0.5892 9.4883
I -1.8181 -2.8992 13.7186
I 1.8184 -1.9710 9.4883
I -1.6018 3.0242 13.7186
I 0.7978 2.5603 9.4883
I 3.4199 -0.1249 13.7186
CELL_PARAMETERS angstrom
4.3133 2.4903 8.3307
-4.3133 2.4903 8.3307
0.0000 -4.9806 8.3307
```

***

Entry 3:
First-principles (PBE) data for an optimized crystal structure of Ba2Tl3Pd, as listed in Alexandria. Values from VASP.

Computed properties:
The energy relative to the elements is -0.382 eV/atom. The final energy comes out at -36.85 eV per cell. As for the calculated volume: 402 Å³/cell.

Geometry as Quantum ESPRESSO input:
```
&SYSTEM
  ibrav = 0, nat = 12, ntyp = 3
/
ATOMIC_SPECIES
Ba 137.33 Ba.upf
Tl 204.38 Tl.upf
Pd 106.42 Pd.upf
ATOMIC_POSITIONS angstrom
Ba 6.4918 5.1907 9.0122
Ba 2.1487 2.5954 4.5061
Ba 6.4460 7.7861 13.5183
Ba 2.1028 5.1907 9.0122
Tl 4.2973 5.1907 3.1752
Tl 4.2973 2.7773 7.4236
Tl 4.2973 2.7773 10.6008
Tl 4.2973 7.6041 7.4236
Tl 4.2973 7.6041 10.6008
Tl 4.2973 5.1907 14.8492
Pd 4.2973 5.1907 5.9819
Pd 4.2973 5.1907 12.0425
CELL_PARAMETERS angstrom
0.0000 5.1907 9.0122
4.2973 0.0000 9.0122
4.2973 5.1907 0.0000
```

***

Entry 4:
First-principles (PBE) data for an optimized crystal structure of Sr2InSn3Pt4, as listed in Alexandria. Values from VASP.

Computed properties:
The energy relative to the elements is -0.778 eV/atom. The final energy comes out at -50.06 eV per cell. As for the calculated volume: 237 Å³/cell.

Geometry as Quantum ESPRESSO input:
```
&SYSTEM
  ibrav = 0, nat = 10, ntyp = 4
/
ATOMIC_SPECIES
Sr 87.62 Sr.upf
In 114.82 In.upf
Sn 118.71 Sn.upf
Pt 195.08 Pt.upf
ATOMIC_POSITIONS angstrom
Sr 0.0000 2.3381 2.6355
Sr 2.3381 0.0000 8.2205
In 0.0000 0.0000 5.4280
Sn 0.0000 2.3381 9.5110
Sn 2.3381 0.0000 1.3449
Sn 2.3381 2.3381 5.4280
Pt 0.0000 0.0000 0.0000
Pt 0.0000 2.3381 6.8595
Pt 2.3381 0.0000 3.9965
Pt 2.3381 2.3381 0.0000
CELL_PARAMETERS angstrom
4.6762 0.0000 0.0000
0.0000 4.6762 0.0000
0.0000 0.0000 10.8560
```

***

Entry 5:
First-principles (PBE) data for an optimized crystal structure of Ca2SbN, as listed in Alexandria. Values from VASP.

Computed properties:
The final energy comes out at -19.15 eV per cell. As for the calculated volume: 98 Å³/cell.

Geometry as Quantum ESPRESSO input:
```
&SYSTEM
  ibrav = 0, nat = 4, ntyp = 3
/
ATOMIC_SPECIES
Ca 40.08 Ca.upf
Sb 121.76 Sb.upf
N 14.01 N.upf
ATOMIC_POSITIONS angstrom
Ca 0.0000 0.0000 3.1868
Ca 0.0000 0.0000 23.4414
Sb 0.0000 0.0000 0.0000
N 0.0000 0.0000 13.3141
CELL_PARAMETERS angstrom
1.7842 1.0301 8.8761
-1.7842 1.0301 8.8761
0.0000 -2.0602 8.8761
```

***

Entry 6:
First-principles (PBE) data for an optimized crystal structure of SrH2Au, as listed in Alexandria. Values from VASP.

Computed properties:
The final energy comes out at -25.11 eV per cell. As for the calculated volume: 127 Å³/cell.

Geometry as Quantum ESPRESSO input:
```
&SYSTEM
  ibrav = 0, nat = 8, ntyp = 3
/
ATOMIC_SPECIES
Sr 87.62 Sr.upf
H 1.01 H.upf
Au 196.97 Au.upf
ATOMIC_POSITIONS angstrom
Sr 0.0000 0.0000 0.0000
Sr 0.0000 2.3377 2.9106
H 1.1689 -0.3877 4.3659
H 1.9500 1.1689 1.4553
H 1.1689 2.7255 -1.4553
H 0.3877 1.1689 7.2765
Au 2.3377 0.0000 2.9106
Au 0.0000 0.0000 5.8212
CELL_PARAMETERS angstrom
-2.3377 2.3377 5.8212
2.3377 -2.3377 5.8212
2.3377 2.3377 -5.8212
```

***

Entry 7:
First-principles (PBE) data for an optimized crystal structure of ZnInNO2, as listed in Alexandria. Values from VASP.

Computed properties:
The final energy comes out at -19.88 eV per cell. As for the calculated volume: 75 Å³/cell.

Geometry as Quantum ESPRESSO input:
```
&SYSTEM
  ibrav = 0, nat = 5, ntyp = 4
/
ATOMIC_SPECIES
Zn 65.41 Zn.upf
In 114.82 In.upf
N 14.01 N.upf
O 16.00 O.upf
ATOMIC_POSITIONS angstrom
Zn 0.0000 0.0000 0.0000
In 2.0992 2.0992 2.1144
N 2.0992 2.0992 0.0000
O 0.0000 2.0992 2.1144
O 2.0992 0.0000 2.1144
CELL_PARAMETERS angstrom
4.1984 0.0000 0.0000
0.0000 4.1984 0.0000
0.0000 0.0000 4.2289
```

***

Entry 8:
First-principles (PBE) data for an optimized crystal structure of PuSiAu, as listed in Alexandria. Values from VASP.

Computed properties:
The final energy comes out at -136.72 eV per cell. As for the calculated volume: 420 Å³/cell.

Geometry as Quantum ESPRESSO input:
```
&SYSTEM
  ibrav = 0, nat = 18, ntyp = 3
/
ATOMIC_SPECIES
Pu 244.00 Pu.upf
Si 28.09 Si.upf
Au 196.97 Au.upf
ATOMIC_POSITIONS angstrom
Pu -1.5290 2.6484 4.8080
Pu -1.5290 2.6484 12.4896
Pu 3.0581 0.0000 3.8408
Pu 3.0581 0.0000 9.1324
Pu 1.5290 2.6484 0.4836
Pu 1.5290 2.6484 8.1652
Si -0.5453 3.2163 2.1622
Si 0.5453 3.2163 10.8109
Si 0.0000 4.1608 6.4866
Si 3.0581 1.1359 6.4866
Si 2.5128 2.0804 10.8109
Si 3.6034 2.0804 2.1622
Au 0.0000 0.0000 2.1622
Au 0.0000 0.0000 6.4866
Au 0.0000 0.0000 10.8109
Au -1.5290 2.6484 8.6488
Au 3.0581 0.0000 0.0000
Au 1.5290 2.6484 4.3244
CELL_PARAMETERS angstrom
6.1162 0.0000 0.0000
-3.0581 5.2967 0.0000
0.0000 0.0000 12.9731
```

***

Entry 9:
First-principles (PBE) data for an optimized crystal structure of Mg2InP2Rh5, as listed in Alexandria. Values from VASP.

Computed properties:
The energy relative to the elements is -0.668 eV/atom. The final energy comes out at -120.38 eV per cell. As for the calculated volume: 310 Å³/cell.

Geometry as Quantum ESPRESSO input:
```
&SYSTEM
  ibrav = 0, nat = 20, ntyp = 4
/
ATOMIC_SPECIES
Mg 24.30 Mg.upf
In 114.82 In.upf
P 30.97 P.upf
Rh 102.91 Rh.upf
ATOMIC_POSITIONS angstrom
Mg 1.6581 3.1219 0.0000
Mg 3.1219 7.9019 0.0000
Mg 6.4382 1.6581 0.0000
Mg 7.9019 6.4382 0.0000
In 0.0000 0.0000 0.0000
In 4.7800 4.7800 0.0000
P 1.2055 5.9856 0.0000
P 3.5745 1.2055 0.0000
P 5.9856 8.3545 0.0000
P 8.3545 3.5745 0.0000
Rh 0.0000 4.7800 1.6938
Rh 0.7033 7.4887 1.6938
Rh 2.0714 0.7033 1.6938
Rh 2.7086 5.4834 1.6938
Rh 4.0767 2.7086 1.6938
Rh 4.7800 0.0000 1.6938
Rh 5.4834 6.8514 1.6938
Rh 6.8514 4.0767 1.6938
Rh 7.4887 8.8567 1.6938
Rh 8.8567 2.0714 1.6938
CELL_PARAMETERS angstrom
9.5600 0.0000 0.0000
0.0000 9.5600 0.0000
0.0000 0.0000 3.3876
```

***

Entry 10:
First-principles (PBE) data for an optimized crystal structure of Sc6CdCu2, as listed in Alexandria. Values from VASP.

Computed properties:
The energy relative to the elements is -0.180 eV/atom. The final energy comes out at -97.44 eV per cell. As for the calculated volume: 382 Å³/cell.

Geometry as Quantum ESPRESSO input:
```
&SYSTEM
  ibrav = 0, nat = 18, ntyp = 3
/
ATOMIC_SPECIES
Sc 44.96 Sc.upf
Cd 112.41 Cd.upf
Cu 63.55 Cu.upf
ATOMIC_POSITIONS angstrom
Sc 4.4841 -2.5811 3.0045
Sc 2.5972 0.0000 2.2406
Sc 6.3709 0.0000 2.2406
Sc 2.8061 2.5578 0.0000
Sc 6.1620 2.5578 0.0000
Sc 0.0000 1.9450 1.6960
Sc 4.4841 2.5811 3.0045
Sc -1.6779 1.9684 4.7005
Sc 1.6779 1.9684 4.7005
Sc -1.8868 4.5261 2.4599
Sc 1.8868 4.5261 2.4599
Sc 0.0000 7.1073 1.6960
Cd 4.4841 0.0000 0.0000
Cd 0.0000 4.5261 0.0000
Cu 1.2392 0.0000 0.0000
Cu 7.7289 0.0000 0.0000
Cu 0.0000 0.0000 3.4940
Cu 0.0000 0.0000 5.9069
CELL_PARAMETERS angstrom
-4.4841 4.5261 4.7005
4.4841 -4.5261 4.7005
4.4841 4.5261 -4.7005
```

***

Entry 11:
First-principles (PBE) data for an optimized crystal structure of Tc2NiOs, as listed in Alexandria. Values from VASP.

Computed properties:
The energy relative to the elements is 0.609 eV/atom. The final energy comes out at -70.61 eV per cell. As for the calculated volume: 119 Å³/cell.

Geometry as Quantum ESPRESSO input:
```
&SYSTEM
  ibrav = 0, nat = 8, ntyp = 3
/
ATOMIC_SPECIES
Tc 98.00 Tc.upf
Ni 58.69 Ni.upf
Os 190.23 Os.upf
ATOMIC_POSITIONS angstrom
Tc 2.7636 0.7900 -2.1942
Tc 0.7900 0.9212 2.1942
Tc -0.9212 1.0525 6.5827
Tc 1.0525 0.9212 10.9711
Ni 0.0000 0.0000 0.0000
Ni 0.0000 1.8424 4.3885
Os 1.8424 0.0000 4.3885
Os 0.0000 0.0000 8.7769
CELL_PARAMETERS angstrom
-1.8424 1.8424 8.7769
1.8424 -1.8424 8.7769
1.8424 1.8424 -8.7769
```

***

Entry 12:
First-principles (PBE) data for an optimized crystal structure of ReMo2Ir, as listed in Alexandria. Values from VASP.

Computed properties:
The energy relative to the elements is -0.026 eV/atom. The final energy comes out at -43.08 eV per cell. As for the calculated volume: 61 Å³/cell.

Geometry as Quantum ESPRESSO input:
```
&SYSTEM
  ibrav = 0, nat = 4, ntyp = 3
/
ATOMIC_SPECIES
Re 186.21 Re.upf
Mo 95.94 Mo.upf
Ir 192.22 Ir.upf
ATOMIC_POSITIONS angstrom
Re 0.0000 0.0000 0.0000
Mo 0.0000 0.0000 4.0033
Mo 0.0000 1.9541 2.0017
Ir 1.9541 0.0000 2.0017
CELL_PARAMETERS angstrom
-1.9541 1.9541 4.0033
1.9541 -1.9541 4.0033
1.9541 1.9541 -4.0033
```